(1)
This record from Alexandria describes NbWC after structural relaxation. The functional is PBE-GGA.

Output
ΔE_f = -0.530 eV/f.u.
Energy above the lowest structure with this stoichiometry = 93.5 meV per atom
Spin magnetization = 0.0 μB per formula unit
V = 13.45 A^3/atom

Unit cell a=3.066 b=3.066 c=14.864 alpha=90.00 beta=90.00 gamma=120.00
Atoms (fractional coordinates):
Nb 0.000 0.000 0.000
Nb 0.333 0.667 0.667
Nb 0.667 0.333 0.333
W 0.000 0.000 0.500
W 0.333 0.667 0.166
W 0.667 0.333 0.833
C 0.000 0.000 0.246
C 0.333 0.667 0.912
C 0.667 0.333 0.579

(2)
This record from Alexandria describes NbWC after structural relaxation. The functional is PBE-GGA.

Output
ΔE_f = -0.372 eV/f.u.
Energy above the lowest structure with this stoichiometry = 145.8 meV per atom
Spin magnetization = 0.0 μB per formula unit
V = 13.58 A^3/atom

Unit cell a=11.022 b=3.117 c=5.309 alpha=90.00 beta=116.70 gamma=90.00
Atoms (fractional coordinates):
Nb 0.000 0.000 0.000
Nb 0.243 0.000 0.596
Nb 0.500 0.500 0.000
Nb 0.743 0.500 0.596
W 0.252 0.500 0.102
W 0.486 0.000 0.483
W 0.752 0.000 0.102
W 0.986 0.500 0.483
C 0.114 0.500 0.290
C 0.379 0.500 0.551
C 0.614 0.000 0.290
C 0.879 0.000 0.551

(3)
This record from Alexandria describes NbW3C after structural relaxation. The functional is PBE-GGA.

Output
ΔE_f = 17.941 eV/f.u.
Energy above the lowest structure with this stoichiometry = 3450.1 meV per atom
Spin magnetization = 0.0 μB per formula unit
V = 21.60 A^3/atom

Unit cell a=4.762 b=4.762 c=4.762 alpha=90.00 beta=90.00 gamma=90.00
Atoms (fractional coordinates):
Nb 0.000 0.000 0.000
W 0.000 0.000 0.500
W 0.000 0.500 0.000
W 0.500 0.000 0.000
C 0.500 0.500 0.500